(P)
VASP calculation (GGA-PBE) on a relaxed Pa2MnPt crystal.

Summary:
size of the total moment	1.56	μB/f.u.

Lattice parameters (Å, degrees): 4.3208 4.3208 4.2699 90.00 90.00 90.00
Element x y z (fractional)
Pa1 0.0000 0.5000 0.0000
Pa2 0.5000 0.0000 0.0000
Mn1 0.0000 0.0000 0.5000
Pt1 0.5000 0.5000 0.5000

(Q)
VASP calculation (GGA-PBE) on a relaxed Pa2MnPt crystal.

Summary:
size of the total moment	0.00	μB/f.u.

Lattice parameters (Å, degrees): 8.5228 8.5228 8.5228 24.77 24.77 24.77
Element x y z (fractional)
Pa1 0.1069 0.1069 0.1069
Pa2 0.8931 0.8931 0.8931
Mn1 0.5000 0.5000 0.5000
Pt1 0.0000 0.0000 0.0000

The calculated energies rank the structures as follows, beginning with the most stable: (P), (Q).

(P)
VASP calculation (GGA-PBE) on a relaxed PuPaMn2 crystal.

Summary:
size of the total moment	1.24	μB/f.u.

Lattice parameters (Å, degrees): 5.2078 5.2078 5.2078 48.72 48.72 48.72
Element x y z (fractional)
Pu1 0.0000 0.0000 0.0000
Pa1 0.5000 0.5000 0.5000
Mn1 0.2823 0.2823 0.2823
Mn2 0.7177 0.7177 0.7177

(Q)
VASP calculation (GGA-PBE) on a relaxed PuPaMn2 crystal.

Summary:
size of the total moment	0.12	μB/f.u.

Lattice parameters (Å, degrees): 4.2603 4.2603 4.1903 90.00 90.00 90.00
Element x y z (fractional)
Pu1 0.0000 0.0000 0.0000
Pa1 0.5000 0.5000 0.0000
Mn1 0.0000 0.5000 0.5000
Mn2 0.5000 0.0000 0.5000

The calculated energies rank the structures as follows, beginning with the most stable: (P), (Q).

(P)
VASP calculation (GGA-PBE) on a relaxed PuPaMn2 crystal.

Summary:
size of the total moment	1.97	μB/f.u.

Lattice parameters (Å, degrees): 3.3263 3.3263 6.8310 90.00 90.00 90.00
Element x y z (fractional)
Pu1 0.0000 0.0000 0.0000
Pa1 0.0000 0.0000 0.5000
Mn1 0.5000 0.5000 0.2684
Mn2 0.5000 0.5000 0.7316

(Q)
VASP calculation (GGA-PBE) on a relaxed PuPaMn2 crystal.

Summary:
size of the total moment	2.08	μB/f.u.

Lattice parameters (Å, degrees): 4.7127 4.7127 4.7127 60.00 60.00 60.00
Element x y z (fractional)
Pu1 0.0000 0.0000 0.0000
Pa1 0.5000 0.5000 0.5000
Mn1 0.2500 0.2500 0.2500
Mn2 0.7500 0.7500 0.7500

The calculated energies rank the structures as follows, beginning with the most stable: (Q), (P).

(P)
VASP calculation (GGA-PBE) on a relaxed PuPaMn crystal.

Summary:
size of the total moment	3.34	μB/f.u.

Lattice parameters (Å, degrees): 4.7122 4.7122 3.1060 90.00 90.00 120.00
Element x y z (fractional)
Pu1 0.0000 0.0000 0.0000
Pa1 0.6667 0.3333 0.6912
Mn1 0.3333 0.6667 0.2907

(Q)
VASP calculation (GGA-PBE) on a relaxed PuPaMn crystal.

Summary:
size of the total moment	0.00	μB/f.u.

Lattice parameters (Å, degrees): 8.7405 8.7405 8.7405 26.77 26.77 26.77
Element x y z (fractional)
Pu1 0.1734 0.1734 0.1734
Pu2 0.8266 0.8266 0.8266
Pa1 0.4091 0.4091 0.4091
Pa2 0.5909 0.5909 0.5909
Mn1 0.3233 0.3233 0.3233
Mn2 0.6767 0.6767 0.6767

(R)
VASP calculation (GGA-PBE) on a relaxed PuPaMn crystal.

Summary:
size of the total moment	3.48	μB/f.u.

Lattice parameters (Å, degrees): 5.3258 5.3258 5.3258 141.25 141.25 55.96
Element x y z (fractional)
Pu1 0.0000 0.0000 0.0000
Pa1 0.3213 0.3213 0.0000
Mn1 0.6600 0.6600 0.0000

The calculated energies rank the structures as follows, beginning with the most stable: (R), (P), (Q).

(P)
VASP calculation (GGA-PBE) on a relaxed PuPa2Mn crystal.

Summary:
size of the total moment	3.78	μB/f.u.

Lattice parameters (Å, degrees): 3.4722 3.4722 6.8743 90.00 90.00 90.00
Element x y z (fractional)
Pu1 0.0000 0.0000 0.0000
Pa1 0.5000 0.5000 0.2798
Pa2 0.5000 0.5000 0.7202
Mn1 0.0000 0.0000 0.5000

(Q)
VASP calculation (GGA-PBE) on a relaxed PuPa2Mn crystal.

Summary:
size of the total moment	5.78	μB/f.u.

Lattice parameters (Å, degrees): 6.3453 6.3453 6.3453 38.44 38.44 38.44
Element x y z (fractional)
Pu1 0.0000 0.0000 0.0000
Pa1 0.2210 0.2210 0.2210
Pa2 0.4206 0.4206 0.4206
Mn1 0.8095 0.8095 0.8095

(R)
VASP calculation (GGA-PBE) on a relaxed PuPa2Mn crystal.

Summary:
size of the total moment	7.28	μB/f.u.

Lattice parameters (Å, degrees): 4.8524 4.8524 4.8524 60.00 60.00 60.00
Element x y z (fractional)
Pu1 0.0000 0.0000 0.0000
Pa1 0.2500 0.2500 0.2500
Pa2 0.7500 0.7500 0.7500
Mn1 0.5000 0.5000 0.5000

The calculated energies rank the structures as follows, beginning with the most stable: (P), (R), (Q).

(P)
VASP calculation (GGA-PBE) on a relaxed PaMnRe crystal.

Summary:
size of the total moment	2.71	μB/f.u.

Lattice parameters (Å, degrees): 4.5464 4.5464 2.9163 90.00 90.00 120.00
Element x y z (fractional)
Pa1 0.0000 0.0000 0.0000
Mn1 0.6667 0.3333 0.3240
Re1 0.3333 0.6667 0.6941

(Q)
VASP calculation (GGA-PBE) on a relaxed PaMnRe crystal.

Summary:
size of the total moment	1.57	μB/f.u.

Lattice parameters (Å, degrees): 5.2981 5.2981 5.2981 121.35 119.64 89.15
Element x y z (fractional)
Pa1 0.3791 0.1291 0.2500
Pa2 0.6209 0.8709 0.7500
Mn1 0.0000 0.5000 0.5000
Mn2 0.5000 0.5000 0.0000
Re1 0.0000 0.0000 0.5000
Re2 0.0000 0.5000 0.0000

The calculated energies rank the structures as follows, beginning with the most stable: (Q), (P).